1.
Sm6Hg2C | OQMD | PBE-GGA | optimized geometry; space-group type = P2_1/c, No. 14; VASP energy = -4.523 eV/atom; crystal system = monoclinic; total moment = 0.0 μB per formula unit
1.0
7.025 0.000 0.000
0.000 7.184 0.000
-7.008 0.000 10.095
Sm Hg C
12 4 2
Cartesian
-0.621 0.108 2.442
-4.125 3.484 7.490
1.488 5.223 0.434
-2.015 5.553 5.481
1.931 1.542 0.455
-1.573 2.050 5.502
1.591 5.134 4.593
-1.913 5.642 9.640
2.033 1.631 4.614
-1.471 1.961 9.662
4.143 3.700 2.605
0.639 7.076 7.653
-3.356 0.282 7.558
0.147 3.310 2.511
-0.129 3.874 7.584
3.374 6.902 2.537
0.000 0.000 0.000
-3.504 3.592 5.048

---

2.
Hg5H | OQMD | PBE-GGA | optimized geometry; space-group type = P6/mmm, No. 191; VASP energy = -0.336 eV/atom; crystal system = hexagonal
1.0
6.337 0.000 0.000
-3.169 5.488 0.000
0.000 0.000 5.110
Hg H
5 1
Cartesian
-1.584 2.744 0.000
0.000 3.659 2.555
3.169 0.000 0.000
1.584 2.744 0.000
3.169 1.829 2.555
0.000 0.000 2.555

---

3.
PaZn | OQMD | PBE-GGA | optimized geometry; space-group type = Pmc2_1, No. 26; crystal system = orthorhombic; DFT formation energy = 0.0726 eV per atom; total moment = 0.0 μB per formula unit
1.0
4.904 0.000 0.000
0.000 10.195 0.000
0.000 0.000 4.980
Pa Zn
6 6
Cartesian
0.000 1.076 0.000
0.000 2.536 2.504
0.000 7.659 0.014
0.000 9.119 2.490
2.452 2.500 0.058
2.452 7.695 2.548
0.000 4.445 4.944
0.000 5.750 2.454
2.452 0.684 2.556
2.452 4.515 2.661
2.452 5.680 0.170
2.452 9.511 0.066

---

4.
NiTePd | OQMD | PBE-GGA | optimized geometry; space-group type = F-43m, No. 216; crystal system = cubic; total moment = 0.0 μB per formula unit; energy relative to the lowest polymorph listed for this composition = 0 meV per atom
1.0
0.000 2.997 2.997
2.997 0.000 2.997
2.997 2.997 0.000
Ni Te Pd
1 1 1
Cartesian
0.000 0.000 0.000
1.499 1.499 1.499
4.496 4.496 4.496